First-principles (GGA+U) data for a geometry-optimized Nd2TiNiO6 structure, as listed in Alexandria via LeMat-Bulk.

The calculated total energy comes out at -157.29 eV/cell.

The space group is P2_1/c (No. 14) and the conventional cell measures 5.4728, 5.6795 and 9.5241 Å, with angles of 90.00, 124.84 and 90.00 degrees. The distinct sites, in fractional coordinates, are Nd at (0.2351, 0.0575, 0.2489), Ti at (0.5000, 0.0000, 0.0000), Ni at (0.0000, 0.0000, 0.5000), O at (0.1634, 0.1959, 0.9529), O at (0.2545, 0.7121, 0.9491) and O at (0.3502, 0.0281, 0.7570).